[1]
Crystalline Li2Hf2GaSiIr2 at its relaxed geometry. Source: the Open Quantum Materials Database, functional PBE.

* VASP energy: -6.97 eV/atom
* symmetry: P-4m2
* mass density: 11.75 g/cm3

Unit cell a=4.4001 b=4.4001 c=6.2298 alpha=90.00 beta=90.00 gamma=90.00
Fractional positions:
Li1 0.0000 0.5000 0.2495
Li2 0.5000 0.0000 0.7505
Hf1 0.0000 0.0000 0.0000
Hf2 0.5000 0.5000 0.5000
Ga1 0.0000 0.0000 0.5000
Si1 0.5000 0.5000 0.0000
Ir1 0.0000 0.5000 0.7579
Ir2 0.5000 0.0000 0.2421

---

[2]
Crystalline Er4SiNi3 at its relaxed geometry. Source: the Open Quantum Materials Database, functional PBE.

* VASP energy: -5.61 eV/atom
* symmetry: Pm
* mass density: 9.15 g/cm3

Unit cell a=5.4355 b=4.0921 c=7.1264 alpha=90.00 beta=90.17 gamma=90.00
Fractional positions:
Er1 0.0000 0.0000 0.0000
Er2 0.2317 0.0000 0.5000
Er3 0.4980 0.5000 0.1456
Er4 0.7386 0.5000 0.6290
Si1 0.4920 0.0000 0.8535
Ni1 0.2526 0.5000 0.7894
Ni2 0.7456 0.0000 0.3535
Ni3 0.9979 0.5000 0.2847

---

[3]
Crystalline HfCdPd at its relaxed geometry. Source: the Open Quantum Materials Database, functional PBE.

* energy of formation: -0.374 eV per atom
* symmetry: P4/nmm
* mass density: 11.47 g/cm3

Unit cell a=3.5314 b=3.5314 c=9.2255 alpha=90.00 beta=90.00 gamma=90.00
Fractional positions:
Hf1 0.2500 0.2500 0.2131
Hf2 0.7500 0.7500 0.7869
Cd1 0.2500 0.2500 0.5843
Cd2 0.7500 0.7500 0.4157
Pd1 0.2500 0.2500 0.9123
Pd2 0.7500 0.7500 0.0877